No. 1
# HoTiBO5

Crystalline HoTiBO5 at its relaxed geometry (PBE, the Alexandria database).

```
16
Lattice="3.1422 -4.2119 0.0000 3.1422 4.2119 0.0000 -2.6045 0.0000 6.3164" Properties=species:S:1:pos:R:3 pbc="T T T"
Ho 1.1888 2.8784 4.7373
Ho 2.4910 -2.8784 1.5791
Ti 3.1422 0.0000 0.0000
Ti 1.8399 0.0000 3.1582
B 2.4910 2.6915 1.5791
B 1.1888 -2.6915 4.7373
O -1.2918 0.5942 5.7397
O 1.5127 1.8465 2.3487
O 0.0105 -0.5942 2.5815
O 3.4694 1.8465 0.8095
O 1.1888 0.7006 4.7373
O 2.4910 -0.7006 1.5791
O 0.2104 -1.8465 5.5069
O 3.6694 0.5942 3.7348
O 2.1672 -1.8465 3.9677
O 4.9716 -0.5942 0.5766
```

Properties
E_tot = -8.502 eV/atom
Formation energy without anion corrections = -3.0094 eV per atom

***

No. 2
# HoUB2O8

Crystalline HoUB2O8 at its relaxed geometry (PBE, the Alexandria database).

```
12
Lattice="-2.3194 2.3194 5.4780 2.3194 -2.3194 5.4780 2.3194 2.3194 -5.4780" Properties=species:S:1:pos:R:3 pbc="T T T"
Ho 0.0000 0.0000 0.0000
U 2.3194 0.0000 2.7390
B 0.0000 0.0000 5.4780
B 0.0000 2.3194 2.7390
O 1.1185 -0.5650 4.6703
O 1.7544 1.2010 0.8077
O -0.6503 1.1848 2.0142
O 1.2010 2.8845 -0.8077
O 1.1347 1.6692 3.4638
O 0.5650 1.1185 6.2857
O 0.6503 3.4541 2.0142
O -1.1347 2.9697 3.4638
```

Properties
E_tot = -8.307 eV/atom
Formation energy without anion corrections = -2.5667 eV per atom

***

No. 3
# Ho2B2Os

Crystalline Ho2B2Os at its relaxed geometry (PBE, the Alexandria database).

```
10
Lattice="5.5770 -1.8486 0.0000 5.5770 1.8486 0.0000 -4.6642 0.0000 7.9591" Properties=species:S:1:pos:R:3 pbc="T T T"
Ho -0.7160 0.0000 1.4354
Ho -0.8345 0.0000 4.7422
Ho 7.3244 0.0000 3.2170
Ho 7.2059 0.0000 6.5238
B -0.6429 0.0000 7.4099
B 3.5424 0.0000 3.1133
B 2.9475 0.0000 4.8459
B 7.1327 0.0000 0.5493
Os 2.4988 0.0000 1.0829
Os 3.9911 0.0000 6.8763
```

Properties
Formation enthalpy at 0 K = -352 meV/atom
E_tot = -7.100 eV/atom